# HfSbNO | the Open Quantum Materials Database | GGA-PBE | relaxed
# Relative energy among the computed polymorphs ... 2.81 eV per formula unit
# VASP energy ... -7.611 eV per atom
data_HfSbNO
_chemical_formula_sum 'Hf2 Sb2 N2 O2'
_space_group_name_H-M_alt 'P 4/n m m'
_space_group_IT_number 129
_cell_length_a 4.1657
_cell_length_b 4.1657
_cell_length_c 8.0805
_cell_angle_alpha 90.00
_cell_angle_beta 90.00
_cell_angle_gamma 90.00
loop_
_space_group_symop_operation_xyz
'x,y,z'
'-x,-y,-z'
'-y+1/2,x,z'
'y+1/2,-x,-z'
'-x+1/2,-y+1/2,z'
'x+1/2,y+1/2,-z'
'y,-x+1/2,z'
'-y,x+1/2,-z'
'x+1/2,-y,-z'
'-x+1/2,y,z'
'-y,-x,-z'
'y,x,z'
'-x,y+1/2,-z'
'x,-y+1/2,z'
'y+1/2,x+1/2,-z'
'-y+1/2,-x+1/2,z'
loop_
_atom_site_label
_atom_site_type_symbol
_atom_site_fract_x
_atom_site_fract_y
_atom_site_fract_z
Hf1 Hf 0.2500 0.7500 0.0000
Sb1 Sb 0.2500 0.2500 0.3770
N1 N 0.2500 0.2500 0.9401
O1 O 0.2500 0.7500 0.5000

***

# Ac2Ir2O5 | the Open Quantum Materials Database | GGA-PBE | relaxed
# Relative energy among the computed polymorphs ... 6.21 eV per formula unit
# VASP energy ... -6.776 eV per atom
data_Ac2Ir2O5
_chemical_formula_sum 'Ac2 Ir2 O5'
_space_group_name_H-M_alt 'P 4/m m m'
_space_group_IT_number 123
_space_group_name_Hall '-P 4 2'
_cell_length_a 3.7047
_cell_length_b 3.7047
_cell_length_c 10.1420
_cell_angle_alpha 90.00
_cell_angle_beta 90.00
_cell_angle_gamma 90.00
loop_
_atom_site_label
_atom_site_type_symbol
_atom_site_fract_x
_atom_site_fract_y
_atom_site_fract_z
Ac1 Ac 0.0000 0.0000 0.2334
Ir1 Ir 0.5000 0.5000 0.0000
Ir2 Ir 0.5000 0.5000 0.5000
O1 O 0.0000 0.0000 0.0000
O2 O 0.0000 0.5000 0.3861

***

# Lu3NiP | the Open Quantum Materials Database | GGA-PBE | relaxed
# VASP energy ... -5.010 eV per atom
data_Lu3NiP
_chemical_formula_sum 'Lu3 Ni1 P1'
_space_group_name_H-M_alt 'P m -3 m'
_space_group_IT_number 221
_space_group_name_Hall '-P 4 2 3'
_cell_length_a 5.0739
_cell_length_b 5.0739
_cell_length_c 5.0739
_cell_angle_alpha 90.00
_cell_angle_beta 90.00
_cell_angle_gamma 90.00
loop_
_atom_site_label
_atom_site_type_symbol
_atom_site_fract_x
_atom_site_fract_y
_atom_site_fract_z
Lu1 Lu 0.0000 0.0000 0.5000
Ni1 Ni 0.5000 0.5000 0.5000
P1 P 0.0000 0.0000 0.0000

***

# Ta4Zn3Mo2N3 | the Open Quantum Materials Database | GGA-PBE | relaxed
# VASP energy ... -8.536 eV per atom
data_Ta4Zn3Mo2N3
_chemical_formula_sum 'Ta16 Zn12 Mo8 N12'
_space_group_name_H-M_alt 'C 1 2/c 1'
_space_group_IT_number 15
_cell_length_a 8.8484
_cell_length_b 5.1123
_cell_length_c 14.6881
_cell_angle_alpha 90.00
_cell_angle_beta 101.61
_cell_angle_gamma 90.00
loop_
_space_group_symop_operation_xyz
'x,y,z'
'-x,-y,-z'
'-x,y,-z+1/2'
'x,-y,z+1/2'
'x+1/2,y+1/2,z'
'-x+1/2,-y+1/2,-z'
'-x+1/2,y+1/2,-z+1/2'
'x+1/2,-y+1/2,z+1/2'
loop_
_atom_site_label
_atom_site_type_symbol
_atom_site_fract_x
_atom_site_fract_y
_atom_site_fract_z
Ta1 Ta 0.1147 0.0853 0.0948
Ta2 Ta 0.2198 0.0824 0.4052
Zn1 Zn 0.0000 0.1016 0.7500
Zn2 Zn 0.1580 0.4249 0.2506
Mo1 Mo 0.0510 0.4182 0.9067
N1 N 0.0857 0.2428 0.5000
N2 N 0.2500 0.2500 0.0000

***

# Nb2AlAu2 | the Open Quantum Materials Database | GGA-PBE | relaxed
# VASP energy ... -5.729 eV per atom
data_Nb2AlAu2
_chemical_formula_sum 'Nb4 Al2 Au4'
_space_group_name_H-M_alt 'I 4/m m m'
_space_group_IT_number 139
_space_group_name_Hall '-I 4 2'
_cell_length_a 3.8891
_cell_length_b 3.8891
_cell_length_c 13.0263
_cell_angle_alpha 90.00
_cell_angle_beta 90.00
_cell_angle_gamma 90.00
loop_
_atom_site_label
_atom_site_type_symbol
_atom_site_fract_x
_atom_site_fract_y
_atom_site_fract_z
Nb1 Nb 0.0000 0.0000 0.0901
Al1 Al 0.0000 0.0000 0.5000
Au1 Au 0.0000 0.5000 0.2500

***

# PdBr2 | the Open Quantum Materials Database | GGA-PBE | relaxed
# VASP energy ... -2.957 eV per atom
data_PdBr2
_chemical_formula_sum 'Pd3 Br6'
_space_group_name_H-M_alt 'R -3 m'
_space_group_IT_number 166
_space_group_name_Hall '-R 3 2"'
_cell_length_a 3.7996
_cell_length_b 3.7996
_cell_length_c 17.3177
_cell_angle_alpha 90.00
_cell_angle_beta 90.00
_cell_angle_gamma 120.00
loop_
_atom_site_label
_atom_site_type_symbol
_atom_site_fract_x
_atom_site_fract_y
_atom_site_fract_z
Pd1 Pd 0.0000 0.0000 0.0000
Br1 Br 0.0000 0.0000 0.2474